(1)
## Cu2PbIO (PBE)

Data for a geometry-optimized Cu2PbIO structure.

a = 5.0145 Å, b = 5.0145 Å, c = 6.2043 Å
α = 90.00°, β = 90.00°, γ = 90.00°
Closest atoms and distances in Å follow each position.
Sites, in units of the cell vectors:
Cu 0.0000 0.5000 0.0000  2 Pb 2.51
Cu 0.5000 0.0000 0.0000  2 Pb 2.51
Pb 0.0000 0.0000 0.0000  4 Cu 2.51
I 0.0000 0.0000 0.5000  2 Pb 3.10
O 0.5000 0.5000 0.5000  4 I 3.55

Values from the calculation:
formation energy without anion corrections: 1177 meV/atom
space-group type: P4/mmm
V: 156.01 Å³/cell

---

(2)
## Er4TlAg3 (PBE)

Data for a geometry-optimized Er4TlAg3 structure.

a = 3.6731 Å, b = 4.8241 Å, c = 11.2690 Å
α = 90.00°, β = 90.00°, γ = 90.00°
Closest atoms and distances in Å follow each position.
Sites, in units of the cell vectors:
Er 0.0000 0.0000 0.0000  6 Ag 3.05-3.11, 1 Tl 3.16
Er 0.0000 0.5000 0.2783  7 Ag 3.07-3.11
Er 0.5000 0.0000 0.4798  5 Ag 2.97-3.14, 2 Tl 3.27
Er 0.5000 0.5000 0.7922  3 Ag 3.02-3.28, 4 Tl 3.14
Tl 0.0000 0.0000 0.7198  2 Ag 3.07, 7 Er 3.14-3.27
Ag 0.0000 0.5000 0.5515  2 Tl 3.07, 7 Er 3.08-3.28
Ag 0.5000 0.0000 0.2163  7 Er 2.97-3.11, 2 Ag 2.99
Ag 0.5000 0.5000 0.0600  2 Ag 2.99, 7 Er 3.02-3.11

Values from the calculation:
energy relative to the lowest polymorph listed for this composition: 48 meV per atom
space-group type: Pmm2
energy relative to the elements: -284 meV per atom
V: 199.68 Å³/cell

---

(3)
## LiZnCr (PBE)

Data for a geometry-optimized LiZnCr structure.

a = 3.0113 Å, b = 3.0113 Å, c = 9.7744 Å
α = 90.00°, β = 90.00°, γ = 90.00°
Closest atoms and distances in Å follow each position.
Sites, in units of the cell vectors:
Li 0.0000 0.0000 0.0000  4 Zn 2.69, 4 Li 2.87
Li 0.5000 0.5000 0.1971  5 Cr 2.81-2.93, 8 Li 2.87-3.01
Zn 0.0000 0.0000 0.6666  4 Zn 2.67, 5 Cr 2.70-2.76
Zn 0.5000 0.5000 0.8322  4 Zn 2.67, 4 Li 2.69
Cr 0.0000 0.0000 0.3841  4 Cr 2.40
Cr 0.5000 0.5000 0.4973  4 Cr 2.40

Values from the calculation:
energy relative to the lowest polymorph listed for this composition: 32 meV per atom
space-group type: P4mm
energy relative to the elements: 107 meV per atom
V: 88.64 Å³/cell

---

(4)
## CsMg2As (PBE)

Data for a geometry-optimized CsMg2As structure.

a = 6.0897 Å, b = 6.0897 Å, c = 17.8517 Å
α = 90.00°, β = 90.00°, γ = 90.00°
Closest atoms and distances in Å follow each position.
Sites, in units of the cell vectors:
Cs 0.0000 0.2500 0.3750  8 Mg 4.07, 4 As 4.31
Cs 0.0000 0.7500 0.6250  8 Mg 4.07, 4 As 4.31
Cs 0.5000 0.2500 0.1250  8 Mg 4.07, 4 As 4.31
Cs 0.5000 0.7500 0.8750  8 Mg 4.07, 4 As 4.31
Mg 0.0000 0.0000 0.0000  2 As 2.70
Mg 0.0000 0.5000 0.0000  2 As 2.70
Mg 0.2500 0.2500 0.7500  2 As 2.70
Mg 0.2500 0.7500 0.2500  2 As 2.70
Mg 0.5000 0.0000 0.5000  2 As 2.70
Mg 0.5000 0.5000 0.5000  2 As 2.70
Mg 0.7500 0.2500 0.7500  2 As 2.70
Mg 0.7500 0.7500 0.2500  2 As 2.70
As 0.0000 0.2500 0.8750  4 Mg 2.70
As 0.0000 0.7500 0.1250  4 Mg 2.70
As 0.5000 0.2500 0.6250  4 Mg 2.70
As 0.5000 0.7500 0.3750  4 Mg 2.70

Values from the calculation:
space-group type: I4_1/amd
energy relative to the elements: -56 meV per atom
V: 662.03 Å³/cell

---

(5)
## RbCd2Ga2 (PBE)

Data for a geometry-optimized RbCd2Ga2 structure.

a = 4.9297 Å, b = 4.9297 Å, c = 11.1316 Å
α = 90.00°, β = 90.00°, γ = 90.00°
Closest atoms and distances in Å follow each position.
Sites, in units of the cell vectors:
Rb 0.0000 0.0000 0.0000  8 Cd 3.72, 8 Ga 3.72
Rb 0.5000 0.5000 0.5000  8 Cd 3.72, 8 Ga 3.72
Cd 0.0000 0.5000 0.2500  4 Ga 2.87
Cd 0.0000 0.5000 0.7500  4 Ga 2.87
Cd 0.5000 0.0000 0.2500  4 Ga 2.87
Cd 0.5000 0.0000 0.7500  4 Ga 2.87
Ga 0.0000 0.0000 0.3828  1 Ga 2.61, 4 Cd 2.87
Ga 0.0000 0.0000 0.6172  1 Ga 2.61, 4 Cd 2.87
Ga 0.5000 0.5000 0.1172  1 Ga 2.61, 4 Cd 2.87
Ga 0.5000 0.5000 0.8828  1 Ga 2.61, 4 Cd 2.87

Values from the calculation:
energy relative to the lowest polymorph listed for this composition: 0 meV per atom
space-group type: I4/mmm
energy relative to the elements: -47 meV per atom
V: 270.52 Å³/cell

---

(6)
## Nd4HoS7 (PBE)

Data for a geometry-optimized Nd4HoS7 structure.

a = 6.9177 Å, b = 6.9177 Å, c = 11.8756 Å
α = 104.51°, β = 104.51°, γ = 33.01°
Closest atoms and distances in Å follow each position.
Sites, in units of the cell vectors:
Nd 0.0000 0.0000 0.0000  6 S 2.76-2.90
Nd 0.1900 0.1900 0.7680  7 S 2.83-3.07
Nd 0.5874 0.5874 0.3829  7 S 2.84-3.07
Nd 0.8879 0.8879 0.5727  6 S 2.78-2.85
Ho 0.7764 0.7764 0.1532  6 S 2.68-2.81
S 0.1564 0.1564 0.2225  2 Ho 2.79, 3 Nd 2.90-3.04
S 0.2272 0.2272 0.5236  5 Nd 2.85-3.07
S 0.3833 0.3833 0.0790  2 Ho 2.70, 2 Nd 2.81
S 0.5486 0.5486 0.6264  5 Nd 2.85-3.07
S 0.6317 0.6317 0.9329  1 Ho 2.81, 4 Nd 2.88-3.02
S 0.8476 0.8476 0.7906  4 Nd 2.76-2.83
S 0.9275 0.9275 0.3536  1 Ho 2.68, 3 Nd 2.78-2.84

Values from the calculation:
formation energy without anion corrections: -2060 meV/atom
space-group type: Cm
V: 298.87 Å³/cell

---

(7)
## HfNbAg (PBE)

Data for a geometry-optimized HfNbAg structure.

a = 2.9305 Å, b = 2.9305 Å, c = 13.4529 Å
α = 90.00°, β = 90.00°, γ = 90.00°
Closest atoms and distances in Å follow each position.
Sites, in units of the cell vectors:
Hf 0.0000 0.0000 0.0000  4 Hf 2.93, 4 Nb 3.03, 4 Ag 3.09
Hf 0.5000 0.5000 0.5000  4 Hf 2.93, 4 Nb 3.03, 4 Ag 3.09
Nb 0.0000 0.0000 0.6638  4 Nb 2.93, 4 Hf 3.03, 4 Ag 3.04
Nb 0.5000 0.5000 0.1638  4 Nb 2.93, 4 Hf 3.03, 4 Ag 3.04
Ag 0.0000 0.0000 0.3292  4 Ag 2.93, 4 Nb 3.04, 4 Hf 3.09
Ag 0.5000 0.5000 0.8292  4 Ag 2.93, 4 Nb 3.04, 4 Hf 3.09

Values from the calculation:
energy relative to the lowest polymorph listed for this composition: 145 meV per atom
space-group type: I4mm
energy relative to the elements: 58 meV per atom
V: 115.53 Å³/cell

---

(8)
## Zr5Ga2Si (PBE)

Data for a geometry-optimized Zr5Ga2Si structure.

a = 8.0103 Å, b = 8.0103 Å, c = 8.0103 Å
α = 126.80°, β = 126.80°, γ = 78.58°
Closest atoms and distances in Å follow each position.
Sites, in units of the cell vectors:
Zr 0.0000 0.0000 0.0000  4 Ga 2.81, 2 Si 3.10
Zr 0.0091 0.5091 0.8263  3 Ga 2.83-2.86, 2 Si 2.94, 1 Zr 2.96
Zr 0.1828 0.0091 0.5000  3 Ga 2.83-2.86, 2 Si 2.94, 1 Zr 2.96
Zr 0.3172 0.8172 0.8263  3 Ga 2.83-2.86, 2 Si 2.94, 1 Zr 2.96
Zr 0.4909 0.3172 0.5000  3 Ga 2.83-2.86, 2 Si 2.94, 1 Zr 2.96
Zr 0.5000 0.5000 0.0000  4 Ga 2.81, 2 Si 3.10
Zr 0.5091 0.6828 0.5000  3 Ga 2.83-2.86, 2 Si 2.94, 1 Zr 2.96
Zr 0.6828 0.1828 0.1737  3 Ga 2.83-2.86, 2 Si 2.94, 1 Zr 2.96
Zr 0.8172 0.9909 0.5000  3 Ga 2.83-2.86, 2 Si 2.94, 1 Zr 2.96
Zr 0.9909 0.4909 0.1737  3 Ga 2.83-2.86, 2 Si 2.94, 1 Zr 2.96
Ga 0.1315 0.3685 0.5000  1 Ga 2.67, 8 Zr 2.81-2.86
Ga 0.3685 0.8685 0.2370  1 Ga 2.67, 8 Zr 2.81-2.86
Ga 0.6315 0.1315 0.7630  1 Ga 2.67, 8 Zr 2.81-2.86
Ga 0.8685 0.6315 0.5000  1 Ga 2.67, 8 Zr 2.81-2.86
Si 0.2500 0.2500 0.0000  10 Zr 2.94-3.10
Si 0.7500 0.7500 0.0000  10 Zr 2.94-3.10

Values from the calculation:
formation energy without anion corrections: -555 meV/atom
space-group type: I4/mcm
V: 319.02 Å³/cell

---

(9)
## La2CrAuC (PBE)

Data for a geometry-optimized La2CrAuC structure.

a = 5.3709 Å, b = 5.3709 Å, c = 3.8986 Å
α = 90.00°, β = 90.00°, γ = 90.00°
Closest atoms and distances in Å follow each position.
Sites, in units of the cell vectors:
La 0.0000 0.5000 0.0000  2 C 2.69
La 0.5000 0.0000 0.0000  2 C 2.69
Cr 0.0000 0.0000 0.5000  2 C 1.95
Au 0.5000 0.5000 0.5000  8 La 3.32
C 0.0000 0.0000 0.0000  2 Cr 1.95

Values from the calculation:
space-group type: P4/mmm
energy relative to the elements: -298 meV per atom
V: 112.46 Å³/cell

---

(10)
## KZrW2 (PBE)

Data for a geometry-optimized KZrW2 structure.

a = 3.3484 Å, b = 4.7872 Å, c = 14.6409 Å
α = 90.00°, β = 90.00°, γ = 90.00°
Closest atoms and distances in Å follow each position.
Sites, in units of the cell vectors:
K 0.0000 0.0000 0.0000  2 K 3.35, 6 W 3.66-3.72
K 0.5000 0.5000 0.5000  2 K 3.35, 6 W 3.66-3.72
Zr 0.0000 0.5000 0.2360  6 W 2.86-2.93
Zr 0.5000 0.0000 0.7360  6 W 2.86-2.93
W 0.0000 0.0000 0.3426  2 W 2.43
W 0.0000 0.5000 0.7225  2 W 2.43
W 0.5000 0.0000 0.2225  2 W 2.43
W 0.5000 0.5000 0.8426  2 W 2.43

Values from the calculation:
energy relative to the lowest polymorph listed for this composition: 350 meV per atom
space-group type: Imm2
energy relative to the elements: 1033 meV per atom
V: 234.68 Å³/cell

---

(11)
## MgCdSnRh (PBE)

Data for a geometry-optimized MgCdSnRh structure.

a = 6.6851 Å, b = 6.6851 Å, c = 6.6851 Å
α = 90.00°, β = 90.00°, γ = 90.00°
Closest atoms and distances in Å follow each position.
Sites, in units of the cell vectors:
Mg 0.0000 0.0000 0.0000  4 Cd 2.89, 4 Sn 2.89
Mg 0.0000 0.5000 0.5000  4 Cd 2.89, 4 Sn 2.89
Mg 0.5000 0.0000 0.5000  4 Cd 2.89, 4 Sn 2.89
Mg 0.5000 0.5000 0.0000  4 Cd 2.89, 4 Sn 2.89
Cd 0.2500 0.2500 0.2500  4 Mg 2.89, 4 Rh 2.89
Cd 0.2500 0.7500 0.7500  4 Mg 2.89, 4 Rh 2.89
Cd 0.7500 0.2500 0.7500  4 Mg 2.89, 4 Rh 2.89
Cd 0.7500 0.7500 0.2500  4 Mg 2.89, 4 Rh 2.89
Sn 0.2500 0.2500 0.7500  4 Mg 2.89, 4 Rh 2.89
Sn 0.2500 0.7500 0.2500  4 Mg 2.89, 4 Rh 2.89
Sn 0.7500 0.2500 0.2500  4 Mg 2.89, 4 Rh 2.89
Sn 0.7500 0.7500 0.7500  4 Mg 2.89, 4 Rh 2.89
Rh 0.0000 0.0000 0.5000  4 Cd 2.89, 4 Sn 2.89
Rh 0.0000 0.5000 0.0000  4 Cd 2.89, 4 Sn 2.89
Rh 0.5000 0.0000 0.0000  4 Cd 2.89, 4 Sn 2.89
Rh 0.5000 0.5000 0.5000  4 Cd 2.89, 4 Sn 2.89

Values from the calculation:
space-group type: F-43m
energy relative to the elements: -187 meV per atom
V: 298.76 Å³/cell

---

(12)
## TbSm2ErS4 (PBE)

Data for a geometry-optimized TbSm2ErS4 structure.

a = 6.8227 Å, b = 3.9070 Å, c = 6.9274 Å
α = 90.00°, β = 108.90°, γ = 90.00°
Closest atoms and distances in Å follow each position.
Sites, in units of the cell vectors:
Tb 0.0000 0.0000 0.0000  6 S 2.76-2.77
Sm 0.0000 0.5000 0.5000  6 S 2.85
Sm 0.5000 0.0000 0.5000  6 S 2.83
Er 0.5000 0.5000 0.0000  6 S 2.74
S 0.2494 0.5000 0.2398  1 Er 2.74, 2 Tb 2.76, 3 Sm 2.83-2.85
S 0.2571 0.0000 0.7623  2 Er 2.74, 1 Tb 2.77, 3 Sm 2.83-2.85
S 0.7429 0.0000 0.2377  2 Er 2.74, 1 Tb 2.77, 3 Sm 2.83-2.85
S 0.7506 0.5000 0.7602  1 Er 2.74, 2 Tb 2.76, 3 Sm 2.83-2.85

Values from the calculation:
formation energy without anion corrections: -2004 meV/atom
space-group type: P2/m
V: 174.70 Å³/cell

---

| no. | E_tot (eV/atom) |
| --- | --- |
| 1 | -2.50 |
| 2 | -3.93 |
| 3 | -4.16 |
| 4 | -2.23 |
| 5 | -1.82 |
| 6 | -6.44 |
| 7 | -7.57 |
| 8 | -7.33 |
| 9 | -6.69 |
| 10 | -7.85 |
| 11 | -3.65 |
| 12 | -6.40 |